Computed, not measured: a geometry-optimized La8Pt3CBr3 structure at the PBE level of DFT.

The space group is C2/m (No. 12) and the conventional cell measures 14.643, 8.491 and 9.097 Å, with angles of 90.00, 122.53 and 90.00 degrees. The asymmetric unit holds La at (0.012, 0.229, 0.307), La at (0.217, 0.000, 0.694), La at (0.234, 0.500, 0.702), Pt at (0.000, 0.500, 0.500), Pt at (0.250, 0.250, 0.500), C at (0.000, 0.000, 0.500), Br at (0.000, 0.000, 0.000) and Br at (0.250, 0.250, 0.000).

The formation energy (no corrections) comes out at -15.34 eV/f.u.

=====

Computed, not measured: a geometry-optimized La8Rh3CBr4 structure at the PBE level of DFT.

The space group is C2/m (No. 12) and the conventional cell measures 14.316, 8.254 and 9.222 Å, with angles of 90.00, 121.14 and 90.00 degrees. The asymmetric unit holds La at (0.016, 0.236, 0.312), La at (0.220, 0.000, 0.688), La at (0.234, 0.500, 0.702), Rh at (0.000, 0.500, 0.500), Rh at (0.250, 0.250, 0.500), C at (0.000, 0.000, 0.500), Br at (0.000, 0.000, 0.000), Br at (0.000, 0.500, 0.000) and Br at (0.250, 0.250, 0.000).

The formation energy (no corrections) comes out at -17.01 eV/f.u.

=====

Computed, not measured: a geometry-optimized La8Rh3CBr3 structure at the PBE level of DFT.

The space group is C2/m (No. 12) and the conventional cell measures 14.409, 8.296 and 9.157 Å, with angles of 90.00, 121.57 and 90.00 degrees. The asymmetric unit holds La at (0.015, 0.235, 0.313), La at (0.219, 0.000, 0.687), La at (0.234, 0.500, 0.702), Rh at (0.000, 0.500, 0.500), Rh at (0.250, 0.250, 0.500), C at (0.000, 0.000, 0.500), Br at (0.000, 0.000, 0.000) and Br at (0.250, 0.250, 0.000).

The formation energy (no corrections) comes out at -13.45 eV/f.u.

=====

Computed, not measured: a geometry-optimized La6Rh2CBr3 structure at the PBE level of DFT.

The space group is C2/m (No. 12) and the conventional cell measures 7.149, 12.368 and 8.157 Å, with angles of 90.00, 106.93 and 90.00 degrees. The asymmetric unit holds La at (0.219, 0.156, 0.189), La at (0.249, 0.000, 0.810), Rh at (0.000, 0.333, 0.000), C at (0.000, 0.000, 0.000), Br at (0.000, 0.167, 0.500) and Br at (0.000, 0.500, 0.500).

The formation energy (no corrections) comes out at -12.44 eV/f.u.

=====

Computed, not measured: a geometry-optimized La6Ru2CBr3 structure at the PBE level of DFT.

The space group is C2/m (No. 12) and the conventional cell measures 7.120, 12.272 and 8.163 Å, with angles of 90.00, 107.06 and 90.00 degrees. The asymmetric unit holds La at (0.219, 0.158, 0.189), La at (0.244, 0.500, 0.189), Ru at (0.000, 0.332, 0.000), C at (0.000, 0.000, 0.000), Br at (0.000, 0.168, 0.500) and Br at (0.000, 0.500, 0.500).

The formation energy (no corrections) comes out at -10.75 eV/f.u.

=====

Computed, not measured: a geometry-optimized La8Ru3CBr3 structure at the PBE level of DFT.

The space group is R-3m (No. 166, hexagonal axes) and the conventional cell measures 8.2371, 8.2371 and 23.6255 Å, with angles of 90.00, 90.00 and 120.00 degrees. The asymmetric unit holds La at (0.0000, 0.0000, 0.2354), La at (0.0141, 0.5071, 0.2273), Ru at (0.0000, 0.5000, 0.5000), C at (0.0000, 0.0000, 0.5000) and Br at (0.0000, 0.5000, 0.0000).

The formation energy (no corrections) comes out at -10.97 eV/f.u.

=====

Computed, not measured: a geometry-optimized La4RuCBr2 structure at the PBE level of DFT.

The space group is P2/m (No. 10) and the conventional cell measures 7.027, 4.062 and 8.060 Å, with angles of 90.00, 105.48 and 90.00 degrees. The asymmetric unit holds La at (0.226, 0.000, 0.180), La at (0.241, 0.500, 0.807), Ru at (0.500, 0.000, 0.000), C at (0.000, 0.500, 0.000), Br at (0.000, 0.000, 0.500) and Br at (0.500, 0.500, 0.500).

The formation energy (no corrections) comes out at -7.12 eV/f.u.

=====

Computed, not measured: a geometry-optimized La6CS2Br3 structure at the PBE level of DFT.

The space group is C2/m (No. 12) and the conventional cell measures 7.128, 12.339 and 7.731 Å, with angles of 90.00, 107.86 and 90.00 degrees. The asymmetric unit holds La at (0.220, 0.155, 0.197), La at (0.243, 0.000, 0.800), C at (0.000, 0.000, 0.000), S at (0.000, 0.334, 0.000), Br at (0.000, 0.171, 0.500) and Br at (0.000, 0.500, 0.500).

The formation energy (no corrections) comes out at -17.87 eV/f.u.

=====

Computed, not measured: a geometry-optimized LaCSe2Br structure at the PBE level of DFT.

The space group is P4/mmm (No. 123) and the conventional cell measures 4.661, 4.661 and 4.751 Å, with angles of 90.00, 90.00 and 90.00 degrees. The asymmetric unit holds La at (0.000, 0.000, 0.000), C at (0.500, 0.500, 0.500), Se at (0.000, 0.500, 0.500) and Br at (0.500, 0.500, 0.000).

The distance to the lowest polymorph of the same formula comes out at 0 meV/atom. The formation energy (no corrections) comes out at -0.31 eV/f.u.

=====

Computed, not measured: a geometry-optimized LaCSeBr2 structure at the PBE level of DFT.

The space group is P4/mmm (No. 123) and the conventional cell measures 4.678, 4.678 and 4.932 Å, with angles of 90.00, 90.00 and 90.00 degrees. The asymmetric unit holds La at (0.000, 0.000, 0.000), C at (0.500, 0.500, 0.500), Se at (0.500, 0.500, 0.000) and Br at (0.000, 0.500, 0.500).

The distance to the lowest polymorph of the same formula comes out at 0 meV/atom. The formation energy (no corrections) comes out at -0.01 eV/f.u.

=====

Computed, not measured: a geometry-optimized LaCSeBr2 structure at the PBE level of DFT.

The space group is P4/mmm (No. 123) and the conventional cell measures 5.794, 5.794 and 6.032 Å, with angles of 90.00, 90.00 and 90.00 degrees. The asymmetric unit holds La at (0.000, 0.000, 0.000), C at (0.500, 0.500, 0.500), Se at (0.000, 0.000, 0.500) and Br at (0.000, 0.500, 0.000).

The distance to the lowest polymorph of the same formula comes out at 415 meV/atom. The formation energy (no corrections) comes out at 2.07 eV/f.u.

=====

Computed, not measured: a geometry-optimized LaCSeBr2 structure at the PBE level of DFT.

The space group is P4/mmm (No. 123) and the conventional cell measures 4.604, 4.604 and 5.487 Å, with angles of 90.00, 90.00 and 90.00 degrees. The asymmetric unit holds La at (0.000, 0.000, 0.000), C at (0.000, 0.000, 0.500), Se at (0.500, 0.500, 0.000) and Br at (0.000, 0.500, 0.500).

The distance to the lowest polymorph of the same formula comes out at 35 meV/atom. The formation energy (no corrections) comes out at 0.17 eV/f.u.